Density functional theory data (PBE+U) for an optimized crystal structure of Pr2HfCoO6.

a b c (Å): 5.6142 5.8482 9.7884
angles (deg): 90.00 124.29 90.00
Closest atoms and distances in Å follow each position.
Fractional coordinates of all 20 atoms:
1 Pr 0.2308 0.0577 0.2482  6 O 2.37-2.65
2 Pr 0.2308 0.4423 0.7482  6 O 2.37-2.65
3 Pr 0.7692 0.5577 0.2518  6 O 2.37-2.65
4 Pr 0.7692 0.9423 0.7518  6 O 2.37-2.65
5 Hf 0.5000 0.0000 0.0000  6 O 2.08-2.09
6 Hf 0.5000 0.5000 0.5000  6 O 2.08-2.09
7 Co 0.0000 0.0000 0.5000  6 O 2.14-2.16
8 Co 0.0000 0.5000 0.0000  6 O 2.14-2.16
9 O 0.1498 0.1979 0.9469  1 Hf 2.08, 1 Co 2.14
10 O 0.1498 0.3021 0.4469  1 Hf 2.08, 1 Co 2.14
11 O 0.2452 0.7076 0.9410  1 Hf 2.09, 1 Co 2.14
12 O 0.2452 0.7924 0.4410  1 Hf 2.09, 1 Co 2.14
13 O 0.3612 0.0388 0.7539  1 Hf 2.08, 1 Co 2.16
14 O 0.3612 0.4612 0.2539  1 Hf 2.08, 1 Co 2.16
15 O 0.6388 0.5388 0.7461  1 Hf 2.08, 1 Co 2.16
16 O 0.6388 0.9612 0.2461  1 Hf 2.08, 1 Co 2.16
17 O 0.7548 0.2076 0.5590  1 Hf 2.09, 1 Co 2.14
18 O 0.7548 0.2924 0.0590  1 Hf 2.09, 1 Co 2.14
19 O 0.8502 0.6979 0.5531  1 Hf 2.08, 1 Co 2.14
20 O 0.8502 0.8021 0.0531  1 Hf 2.08, 1 Co 2.14

Calculated values
DOS(E_F) = 0.0 states/eV/f.u.
DFT total energy = -167.91 eV/cell